Material: YEr3Cu2
Method: DFT, PBE
State: relaxed

Properties
DOS(E_F)   1.157 states/eV/atom
Calculated formation energy   0.00 eV/atom
Excess energy over the best structure of this formula in the dataset   4.26 kcal/mol of atoms
Spin magnetization   0.0 μB per formula unit
Space group   No. 72

a b c (Å): 6.7565 7.1113 8.2768
angles (deg): 115.44 114.09 90.00
With the nearest neighbours (Å) after each atom.
Positions (direct):
Y  0.0000  0.5000  0.0000  2 Cu 2.74
Y  0.0000  0.0000  0.0000  2 Cu 2.74
Er  0.5000  0.2500  0.0000  4 Cu 2.95
Er  0.5000  0.7500  0.0000  4 Cu 2.95
Er  0.7648  0.0148  0.5295  4 Cu 2.79-2.93
Er  0.2352  0.4852  0.4705  4 Cu 2.79-2.93
Er  0.2352  0.9852  0.4705  4 Cu 2.79-2.93
Er  0.7648  0.5148  0.5295  4 Cu 2.79-2.93
Cu  0.5653  0.3578  0.7155  1 Y 2.74, 6 Er 2.79-2.95
Cu  0.8498  0.1422  0.2845  1 Y 2.74, 6 Er 2.79-2.95
Cu  0.1502  0.8578  0.7155  1 Y 2.74, 6 Er 2.79-2.95
Cu  0.4347  0.6422  0.2845  1 Y 2.74, 6 Er 2.79-2.95


Material: ZnAgAs2
Method: DFT, PBE
State: relaxed

Properties
DOS(E_F)   0.548 states/eV/atom
Calculated formation energy   0.19 eV/atom
Spin magnetization   0.0 μB per formula unit
Space group   No. 123

a b c (Å): 3.7179 3.7192 5.4857
angles (deg): 90.00 90.00 90.00
With the nearest neighbours (Å) after each atom.
Positions (direct):
Ag  0.5000  0.5000  0.7500  2 Zn 2.74, 8 As 3.04
As  0.0000  0.0000  0.0281  1 As 2.43
As  0.0000  0.0000  0.4719  1 As 2.43
Zn  0.5000  0.5000  0.2500  2 Ag 2.74, 8 As 2.90


Material: Tm3Pb
Method: DFT, PBE
State: relaxed

Properties
DOS(E_F)   0.960 states/eV/atom
Calculated formation energy   -0.25 eV/atom
Spin magnetization   0.0 μB per formula unit
Space group   No. 139

a b c (Å): 4.6298 4.6298 6.1844
angles (deg): 111.98 111.98 90.00
With the nearest neighbours (Å) after each atom.
Positions (direct):
Pb  0.0000  0.0000  0.0000  12 Tm 3.27-3.50
Tm  0.7500  0.2500  0.5000  8 Tm 3.27-3.50, 4 Pb 3.50
Tm  0.2500  0.7500  0.5000  8 Tm 3.27-3.50, 4 Pb 3.50
Tm  0.5000  0.5000  0.0000  4 Pb 3.27, 8 Tm 3.50


Material: LiCeSmHg
Method: DFT, PBE
State: relaxed

Properties
DOS(E_F)   2.701 states/eV/atom
Calculated formation energy   -0.09 eV/atom
Spin magnetization   1.6 μB per formula unit
Space group   No. 216

a b c (Å): 5.3410 5.3410 5.3410
angles (deg): 60.00 60.00 60.00
With the nearest neighbours (Å) after each atom.
Positions (direct):
Ce  0.7500  0.7500  0.7500  4 Li 3.27, 4 Hg 3.27
Hg  0.5000  0.5000  0.5000  4 Sm 3.27, 4 Ce 3.27
Sm  0.2500  0.2500  0.2500  4 Hg 3.27, 4 Li 3.27
Li  0.0000  0.0000  0.0000  4 Ce 3.27, 4 Sm 3.27


Material: Er8Bi2P
Method: DFT, PBE
State: relaxed

Properties
DOS(E_F)   0.939 states/eV/atom
Calculated formation energy   -0.53 eV/atom
Spin magnetization   0.8 μB per formula unit
Space group   No. 12

a b c (Å): 4.0417 8.8309 9.2140
angles (deg): 95.51 102.67 90.00
With the nearest neighbours (Å) after each atom.
Positions (direct):
Er  0.4091  0.4623  0.8182  2 Bi 3.20, 3 Er 3.27-3.38
Er  0.6518  0.0334  0.3035  1 P 2.72
Er  0.7938  0.6384  0.5877  2 Bi 3.21, 7 Er 3.38-3.59
Er  0.0125  0.2163  0.0250  2 P 2.77
Er  0.2062  0.3616  0.4123  2 Bi 3.21, 7 Er 3.38-3.59
Er  0.3482  0.9666  0.6965  1 P 2.72
Er  0.5909  0.5377  0.1818  2 Bi 3.20, 3 Er 3.27-3.38
Er  0.9875  0.7837  0.9750  2 P 2.77
Bi  0.8217  0.2261  0.6433  8 Er 3.13-3.44
Bi  0.1783  0.7739  0.3567  8 Er 3.13-3.44
P  0.5000  0.0000  0.0000  6 Er 2.72-2.77


Material: Ca5NdBi5
Method: DFT, PBE
State: relaxed

Properties
DOS(E_F)   0.780 states/eV/atom
Calculated formation energy   -0.69 eV/atom
Spin magnetization   0.0 μB per formula unit
Space group   No. 12

a b c (Å): 6.4382 8.2424 9.0113
angles (deg): 106.09 90.00 112.99
With the nearest neighbours (Å) after each atom.
Positions (direct):
Ca  0.6792  0.3584  0.3223  5 Bi 3.17-3.33
Ca  0.6808  0.3617  0.8583  5 Bi 3.21-3.36
Ca  0.0000  0.0000  0.5000  4 Bi 3.12-3.25
Ca  0.3192  0.6383  0.1417  5 Bi 3.21-3.36
Ca  0.3208  0.6416  0.6777  5 Bi 3.17-3.33
Nd  0.0000  0.0000  0.0000  6 Bi 3.21-3.28
Bi  0.8462  0.6924  0.1795  5 Ca 3.12-3.25, 1 Nd 3.21
Bi  0.8367  0.6733  0.6641  5 Ca 3.23-3.34, 1 Nd 3.28
Bi  0.5000  0.0000  0.0000  2 Nd 3.22, 4 Ca 3.33-3.36
Bi  0.1633  0.3267  0.3359  5 Ca 3.23-3.34, 1 Nd 3.28
Bi  0.1538  0.3076  0.8205  5 Ca 3.12-3.25, 1 Nd 3.21